Entry from the Alexandria database: crystalline Be3As4 at its relaxed geometry (PBE).

Cell lengths 12.5827, 12.5827, 12.5827 Å; angles 165.69, 165.69, 20.29 degrees
Closest atoms and distances in Å follow each position.
Sites, in units of the cell vectors:
Be: 0.0000 0.0000 0.0000  8 As 2.54
Be: 0.2736 0.2736 0.0000  5 As 2.28-2.48, 4 Be 2.50
Be: 0.7264 0.7264 0.0000  5 As 2.28-2.48, 4 Be 2.50
As: 0.1815 0.1815 0.0000  5 Be 2.28-2.48
As: 0.4503 0.4503 0.0000  1 As 2.46, 4 Be 2.54
As: 0.5497 0.5497 0.0000  1 As 2.46, 4 Be 2.54
As: 0.8185 0.8185 0.0000  5 Be 2.28-2.48

Space group   No. 139
Energy relative to the elements   212 meV/atom

***

Entry from the Alexandria database: crystalline LiMn2TlN at its relaxed geometry (PBE).

Cell lengths 3.7712, 3.7712, 5.4832 Å; angles 90.00, 90.00, 90.00 degrees
Closest atoms and distances in Å follow each position.
Sites, in units of the cell vectors:
Li: 0.0000 0.0000 0.0000  4 Tl 2.67
Mn: 0.0000 0.5000 0.5000  2 N 1.89
Mn: 0.5000 0.0000 0.5000  2 N 1.89
Tl: 0.5000 0.5000 0.0000  4 Li 2.67, 2 N 2.74
N: 0.5000 0.5000 0.5000  4 Mn 1.89

Space group   No. 123
ΔE_f (raw)   141.8 meV per atom

***

no.,E_tot (eV per atom),E above lowest polymorph (eV per formula unit),size of the total moment (μB/atom)
1,-4.042,0.00,0.00
2,-6.047,1.37,0.94